Record 1
Material: CuNi2Ge
Method: DFT, PBE
State: optimized geometry

Cell: 4.2772 4.2772 4.2772 Å, 128.05 128.05 76.55°
Last column: nearest neighbours and their distance in Å.
Fractional coordinates of all 4 atoms:
Cu 0.0000 0.0000 0.0000  8 Ni 2.52, 4 Ge 2.65
Ni 0.2500 0.7500 0.5000  4 Ge 2.52, 4 Cu 2.52, 4 Ni 2.65
Ni 0.7500 0.2500 0.5000  4 Ge 2.52, 4 Cu 2.52, 4 Ni 2.65
Ge 0.5000 0.5000 0.0000  8 Ni 2.52, 4 Cu 2.65

Properties
- SG: I4/mmm (139)
- M_tot: 0.000 μB per formula unit

---

Record 2
Material: CuNiGe3
Method: DFT, PBE
State: optimized geometry

Cell: 4.5630 4.5630 4.5630 Å, 90.00 90.00 90.00°
Last column: nearest neighbours and their distance in Å.
Fractional coordinates of all 5 atoms:
Cu 0.0000 0.0000 0.0000  12 Ge 3.23
Ni 0.5000 0.5000 0.5000  6 Ge 2.28
Ge 0.0000 0.5000 0.5000  2 Ni 2.28
Ge 0.5000 0.0000 0.5000  2 Ni 2.28
Ge 0.5000 0.5000 0.0000  2 Ni 2.28

Properties
- Energy relative to the lowest polymorph listed for this composition: 0.000 eV/atom
- SG: Pm-3m (221)
- M_tot: 0.000 μB per formula unit

---

Record 3
Material: CuNiGe2
Method: DFT, PBE
State: optimized geometry

Cell: 4.3151 4.3151 4.3151 Å, 60.00 60.00 60.00°
Last column: nearest neighbours and their distance in Å.
Fractional coordinates of all 4 atoms:
Cu 0.0000 0.0000 0.0000  8 Ge 2.64
Ni 0.5000 0.5000 0.5000  8 Ge 2.64
Ge 0.2500 0.2500 0.2500  4 Ni 2.64, 4 Cu 2.64
Ge 0.7500 0.7500 0.7500  4 Ni 2.64, 4 Cu 2.64

Properties
- Energy relative to the lowest polymorph listed for this composition: 0.112 eV/atom
- SG: Fm-3m (225)
- M_tot: 0.000 μB per formula unit

---

Record 4
Material: Cu2NiGe2
Method: DFT, PBE
State: optimized geometry

Cell: 6.5174 6.5174 3.3782 Å, 90.00 90.00 90.00°
Last column: nearest neighbours and their distance in Å.
Fractional coordinates of all 10 atoms:
Cu 0.1322 0.3678 0.0000  1 Cu 2.44, 6 Ge 2.46-2.63, 2 Ni 2.55
Cu 0.3678 0.8678 0.0000  1 Cu 2.44, 6 Ge 2.46-2.63, 2 Ni 2.55
Cu 0.6322 0.1322 0.0000  1 Cu 2.44, 6 Ge 2.46-2.63, 2 Ni 2.55
Cu 0.8678 0.6322 0.0000  1 Cu 2.44, 6 Ge 2.46-2.63, 2 Ni 2.55
Ni 0.0000 0.0000 0.0000  4 Cu 2.55
Ni 0.5000 0.5000 0.0000  4 Cu 2.55
Ge 0.1742 0.6742 0.5000  6 Cu 2.46-2.63
Ge 0.3258 0.1742 0.5000  6 Cu 2.46-2.63
Ge 0.6742 0.8258 0.5000  6 Cu 2.46-2.63
Ge 0.8258 0.3258 0.5000  6 Cu 2.46-2.63

Properties
- Energy relative to the lowest polymorph listed for this composition: 0.104 eV/atom
- SG: P4/mbm (127)
- M_tot: 0.000 μB per formula unit

---

Record 5
Material: Cu5NiGe2
Method: DFT, PBE
State: optimized geometry

Cell: 5.2110 10.4068 3.7157 Å, 90.00 90.00 90.00°
Last column: nearest neighbours and their distance in Å.
Fractional coordinates of all 16 atoms:
Cu 0.0000 0.0000 0.0000  6 Cu 2.60-2.61, 2 Ni 2.61, 4 Ge 2.63
Cu 0.0169 0.2503 0.0000  7 Cu 2.59-2.61, 1 Ni 2.60, 4 Ge 2.64-2.67
Cu 0.2339 0.8705 0.5000  4 Ge 2.57-2.64, 6 Cu 2.59-2.60, 2 Ni 2.68
Cu 0.2661 0.3705 0.5000  4 Ge 2.57-2.64, 6 Cu 2.59-2.60, 2 Ni 2.68
Cu 0.4831 0.7503 0.0000  7 Cu 2.59-2.61, 1 Ni 2.60, 4 Ge 2.64-2.67
Cu 0.5000 0.5000 0.0000  6 Cu 2.60-2.61, 2 Ni 2.61, 4 Ge 2.63
Cu 0.5169 0.2497 0.0000  7 Cu 2.59-2.61, 1 Ni 2.60, 4 Ge 2.64-2.67
Cu 0.7339 0.6295 0.5000  4 Ge 2.57-2.64, 6 Cu 2.59-2.60, 2 Ni 2.68
Cu 0.7661 0.1295 0.5000  4 Ge 2.57-2.64, 6 Cu 2.59-2.60, 2 Ni 2.68
Cu 0.9831 0.7497 0.0000  7 Cu 2.59-2.61, 1 Ni 2.60, 4 Ge 2.64-2.67
Ni 0.0000 0.5000 0.0000  4 Ge 2.52, 8 Cu 2.60-2.68
Ni 0.5000 0.0000 0.0000  4 Ge 2.52, 8 Cu 2.60-2.68
Ge 0.2284 0.6169 0.5000  2 Ni 2.52, 10 Cu 2.57-2.67
Ge 0.2716 0.1169 0.5000  2 Ni 2.52, 10 Cu 2.57-2.67
Ge 0.7284 0.8831 0.5000  2 Ni 2.52, 10 Cu 2.57-2.67
Ge 0.7716 0.3831 0.5000  2 Ni 2.52, 10 Cu 2.57-2.67

Properties
- SG: Pbam (55)
- M_tot: 0.000 μB per formula unit

---

Record 6
Material: CuNi4Ge
Method: DFT, PBE
State: optimized geometry

Cell: 4.3554 4.3554 5.1174 Å, 106.43 106.43 47.93°
Last column: nearest neighbours and their distance in Å.
Fractional coordinates of all 6 atoms:
Cu 0.0000 0.0000 0.0000  10 Ni 2.51-2.53, 2 Ge 2.56
Ni 0.3339 0.3339 0.1663  3 Cu 2.51-2.53, 7 Ni 2.51-2.56, 2 Ge 2.53
Ni 0.3343 0.3343 0.6672  3 Ge 2.51-2.53, 7 Ni 2.51-2.56, 2 Cu 2.53
Ni 0.6657 0.6657 0.3328  3 Ge 2.51-2.53, 7 Ni 2.51-2.56, 2 Cu 2.53
Ni 0.6661 0.6661 0.8337  3 Cu 2.51-2.53, 7 Ni 2.51-2.56, 2 Ge 2.53
Ge 0.0000 0.0000 0.5000  10 Ni 2.51-2.53, 2 Cu 2.56

Properties
- Energy relative to the lowest polymorph listed for this composition: 0.000 eV/atom
- SG: C2/m (12)
- M_tot: 0.000 μB per formula unit

---

Record 7
Material: CuNi6Ge
Method: DFT, PBE
State: optimized geometry

Cell: 5.0401 5.0401 4.0972 Å, 90.00 90.00 120.00°
Last column: nearest neighbours and their distance in Å.
Fractional coordinates of all 8 atoms:
Cu 0.0000 0.0000 0.0000  12 Ni 2.51-2.52
Ni 0.3334 0.1667 0.5000  8 Ni 2.51-2.52, 2 Cu 2.51, 2 Ge 2.52
Ni 0.5022 0.0045 0.0000  8 Ni 2.49-2.55, 2 Cu 2.52, 2 Ge 2.52
Ni 0.5022 0.4978 0.0000  8 Ni 2.49-2.55, 2 Cu 2.52, 2 Ge 2.52
Ni 0.8333 0.1667 0.5000  8 Ni 2.51-2.52, 2 Cu 2.51, 2 Ge 2.52
Ni 0.8333 0.6666 0.5000  8 Ni 2.51-2.52, 2 Cu 2.51, 2 Ge 2.52
Ni 0.9955 0.4978 0.0000  8 Ni 2.49-2.55, 2 Cu 2.52, 2 Ge 2.52
Ge 0.3333 0.6667 0.5000  12 Ni 2.52

Properties
- Energy relative to the lowest polymorph listed for this composition: 0.003 eV/atom
- SG: P-6m2 (187)
- M_tot: 1.536 μB per formula unit

---

Record 8
Material: CuNi5Ge
Method: DFT, PBE
State: optimized geometry

Cell: 4.7466 4.7466 8.9402 Å, 96.36 96.36 57.37°
Last column: nearest neighbours and their distance in Å.
Fractional coordinates of all 14 atoms:
Cu 0.0000 0.0000 0.0000  8 Ni 2.44-2.63, 2 Ge 2.55
Cu 0.0000 0.0000 0.5000  8 Ni 2.44-2.63, 2 Ge 2.55
Ni 0.2243 0.2513 0.6889  7 Ni 2.38-2.64, 2 Ge 2.42-2.45, 1 Cu 2.44
Ni 0.2402 0.7598 0.7500  2 Ge 2.24-2.32, 4 Ni 2.41-2.45, 2 Cu 2.49
Ni 0.2513 0.2243 0.1889  7 Ni 2.38-2.64, 2 Ge 2.42-2.45, 1 Cu 2.44
Ni 0.3441 0.3525 0.9563  5 Ni 2.38-2.64, 2 Cu 2.59-2.63, 1 Ge 2.60
Ni 0.3525 0.3441 0.4563  5 Ni 2.38-2.64, 2 Cu 2.59-2.63, 1 Ge 2.60
Ni 0.6475 0.6559 0.5437  5 Ni 2.38-2.64, 2 Cu 2.59-2.63, 1 Ge 2.60
Ni 0.6559 0.6475 0.0437  5 Ni 2.38-2.64, 2 Cu 2.59-2.63, 1 Ge 2.60
Ni 0.7487 0.7757 0.8111  7 Ni 2.38-2.64, 2 Ge 2.42-2.45, 1 Cu 2.44
Ni 0.7598 0.2402 0.2500  2 Ge 2.24-2.32, 4 Ni 2.41-2.45, 2 Cu 2.49
Ni 0.7757 0.7487 0.3111  7 Ni 2.38-2.64, 2 Ge 2.42-2.45, 1 Cu 2.44
Ge 0.2682 0.7318 0.2500  6 Ni 2.24-2.45
Ge 0.7318 0.2682 0.7500  6 Ni 2.24-2.45

Properties
- Energy relative to the lowest polymorph listed for this composition: 0.042 eV/atom
- SG: C2/c (15)
- M_tot: 1.327 μB per formula unit

---

Record 9
Material: Cu2NiGe2
Method: DFT, PBE
State: optimized geometry

Cell: 6.1860 6.1860 3.7555 Å, 90.00 90.00 90.00°
Last column: nearest neighbours and their distance in Å.
Fractional coordinates of all 10 atoms:
Cu 0.1508 0.3492 0.0000  6 Ge 2.56-2.65, 1 Cu 2.64
Cu 0.3492 0.8492 0.0000  6 Ge 2.56-2.65, 1 Cu 2.64
Cu 0.6508 0.1508 0.0000  6 Ge 2.56-2.65, 1 Cu 2.64
Cu 0.8492 0.6508 0.0000  6 Ge 2.56-2.65, 1 Cu 2.64
Ni 0.0000 0.0000 0.5000  4 Ge 2.35
Ni 0.5000 0.5000 0.5000  4 Ge 2.35
Ge 0.1507 0.6507 0.5000  2 Ni 2.35, 2 Cu 2.56
Ge 0.3493 0.1507 0.5000  2 Ni 2.35, 2 Cu 2.56
Ge 0.6507 0.8493 0.5000  2 Ni 2.35, 2 Cu 2.56
Ge 0.8493 0.3493 0.5000  2 Ni 2.35, 2 Cu 2.56

Properties
- Energy relative to the lowest polymorph listed for this composition: 0.000 eV/atom
- SG: P4/mbm (127)
- M_tot: 0.000 μB per formula unit

---

Record 10
Material: CuNi2Ge
Method: DFT, PBE
State: optimized geometry

Cell: 5.4239 5.4239 5.4239 Å, 151.96 134.32 54.46°
Last column: nearest neighbours and their distance in Å.
Fractional coordinates of all 4 atoms:
Cu 0.0000 0.0000 0.0000  4 Ge 2.48, 2 Ni 2.51, 2 Cu 2.63
Ni 0.2597 0.2597 0.0000  1 Ge 2.32, 4 Ni 2.49, 1 Cu 2.51
Ni 0.7403 0.7403 0.0000  1 Ge 2.32, 4 Ni 2.49, 1 Cu 2.51
Ge 0.5000 0.5000 0.0000  2 Ni 2.32, 4 Cu 2.48

Properties
- SG: Immm (71)
- M_tot: 0.698 μB per formula unit

---

no.,energy of formation (kcal/mol of atoms)
1,-4.649
2,9.614
3,2.234
4,4.556
5,-0.701
6,-2.935
7,-2.462
8,1.249
9,2.159
10,6.148